Below is Pu2Tc3Ru after structural relaxation, with properties calculated at the GGA-PBE level.

Cell lengths 8.397, 5.629, 5.646 Å; angles 90.00, 125.58, 90.00 degrees
Space group C2/m (No. 12)
Unique sites:
Pu 0.123 0.000 0.374 x4
Tc 0.000 0.500 0.000 x2
Tc 0.250 0.250 0.000 x4
Ru 0.000 0.500 0.500 x2

## Properties
**Fermi-level density of states**: 31.24 states/eV/cell
**Final energy**: -11.520 eV/atom
**Crystal system**: monoclinic
**M_tot**: 16.76 Bohr magnetons per cell



Below is Ga5Ag3I12 after structural relaxation, with properties calculated at the GGA-PBE level.

Cell lengths 18.392, 18.392, 18.392 Å; angles 90.00, 90.00, 90.00 degrees
Space group Ia-3d (No. 230)
Unique sites:
Ga 0.000 0.000 0.000 x16
Ga 0.000 0.250 0.375 x24
Ag 0.000 0.250 0.125 x24
I 0.028 0.063 0.658 x96

## Properties
**Fermi-level density of states**: 77.28 states/eV/cell
**Final energy**: -2.282 eV/atom
**Crystal system**: cubic
**M_tot**: 0.00 Bohr magnetons per cell



Below is Ho2Ga9Co3 after structural relaxation, with properties calculated at the GGA-PBE level.

Cell lengths 12.767, 7.347, 10.328 Å; angles 90.00, 114.50, 90.00 degrees
Space group C2/c (No. 15)
Unique sites:
Ho 0.168 0.083 0.251 x8
Ga 0.000 0.367 0.250 x4
Ga 0.060 0.082 0.928 x8
Ga 0.103 0.415 0.058 x8
Ga 0.107 0.311 0.749 x8
Ga 0.226 0.417 0.428 x8
Co 0.085 0.244 0.501 x8
Co 0.250 0.250 0.000 x4

## Properties
**Fermi-level density of states**: 29.62 states/eV/cell
**Final energy**: -4.608 eV/atom
**Crystal system**: monoclinic
**M_tot**: 0.00 Bohr magnetons per cell



Below is Pm3Nd8Ho3 after structural relaxation, with properties calculated at the GGA-PBE level.

Cell lengths 5.750, 10.962, 15.327 Å; angles 90.00, 90.00, 90.00 degrees
Space group Immm (No. 71)
Unique sites:
Pm 0.000 0.000 0.000 x2
Pm 0.000 0.500 0.320 x4
Nd 0.000 0.159 0.278 x8
Nd 0.000 0.338 0.103 x8
Ho 0.000 0.000 0.500 x2
Ho 0.000 0.300 0.500 x4

## Properties
**Fermi-level density of states**: 39.04 states/eV/cell
**Offset from the most stable computed form**: 0.00 eV per formula unit
**Crystal system**: orthorhombic
**M_tot**: 0.00 Bohr magnetons per cell